Entry a
This record from Alexandria via LeMat-Bulk describes a geometry-optimized ReP2Os structure. The functional is PBE-GGA.

a b c (Å): 4.386 4.386 4.519
angles (deg): 76.11 76.11 40.21
Fractional positions:
Os: 0.252 0.252 0.170
P: 0.994 0.994 0.035
P: 0.759 0.759 0.701
Re: 0.494 0.494 0.593

=====

Entry b
This record from Alexandria via LeMat-Bulk describes a geometry-optimized ReP2Os structure. The functional is PBE-GGA.

a b c (Å): 4.330 4.330 4.330
angles (deg): 60.00 60.00 60.00
Fractional positions:
Os: 0.500 0.500 0.500
P: 0.000 0.000 0.000
P: 0.250 0.250 0.250
Re: 0.750 0.750 0.750

=====

Most stable: entry a

=====

Entry a
This record from Alexandria via LeMat-Bulk describes a geometry-optimized RePOs structure. The functional is PBE-GGA.

a b c (Å): 2.821 2.821 5.984
angles (deg): 90.00 90.00 120.00
Fractional positions:
Re: 0.333 0.667 0.649
P: 0.667 0.333 0.331
Os: 0.000 0.000 0.020

=====

Entry b
This record from Alexandria via LeMat-Bulk describes a geometry-optimized RePOs structure. The functional is PBE-GGA.

a b c (Å): 6.573 6.261 2.849
angles (deg): 83.37 71.13 25.50
Fractional positions:
Re: 0.680 0.680 0.320
P: 0.335 0.335 0.665
Os: 0.985 0.985 0.015

=====

Entry c
This record from Alexandria via LeMat-Bulk describes a geometry-optimized RePOs structure. The functional is PBE-GGA.

a b c (Å): 3.973 3.973 3.973
angles (deg): 60.00 60.00 60.00
Fractional positions:
Re: 0.000 0.000 0.000
P: 0.250 0.250 0.250
Os: 0.500 0.500 0.500

=====

Most stable: entry a

=====

Entry a
This record from Alexandria via LeMat-Bulk describes a geometry-optimized RePOs structure. The functional is PBE-GGA.

a b c (Å): 5.228 5.228 5.228
angles (deg): 147.84 147.84 46.13
Fractional positions:
Re: 0.317 0.317 0.000
P: 0.669 0.669 0.000
Os: 0.014 0.014 0.000

=====

Entry b
This record from Alexandria via LeMat-Bulk describes a geometry-optimized RePOs structure. The functional is PBE-GGA.

a b c (Å): 4.451 4.451 4.451
angles (deg): 142.18 127.17 66.79
Fractional positions:
Re: 0.343 0.343 0.000
P: 0.667 0.667 0.000
Os: 0.990 0.990 0.000

=====

Most stable: entry a

=====

Entry a
This record from Alexandria via LeMat-Bulk describes a geometry-optimized Re3POs structure. The functional is PBE-GGA.

a b c (Å): 4.713 4.713 4.713
angles (deg): 90.00 90.00 90.00
Each line ends with the local moment (μB).
Fractional positions:
Re: 0.000 0.500 0.000  0.25
Re: 0.000 0.000 0.500  0.17
Re: 0.500 0.000 0.000  0.26
Os: 0.000 0.000 0.000  -0.04
P: 0.500 0.500 0.500  -0.06

=====

Entry b
This record from Alexandria via LeMat-Bulk describes a geometry-optimized Re3POs structure. The functional is PBE-GGA.

a b c (Å): 4.316 4.316 4.316
angles (deg): 90.00 90.00 90.00
Fractional positions:
Re: 0.000 0.500 0.000
Re: 0.000 0.000 0.500
Re: 0.500 0.000 0.000
Os: 0.500 0.500 0.500
P: 0.000 0.000 0.000

=====

Most stable: entry b

=====

Entry a
This record from Alexandria via LeMat-Bulk describes a geometry-optimized RePOs2Ru structure. The functional is PBE-GGA.

a b c (Å): 4.724 4.404 4.724
angles (deg): 90.00 90.00 90.00
Each line ends with the local moment (μB).
Fractional positions:
Re: 0.000 0.000 0.000  0.00
Os: 0.000 0.000 0.500  0.30
Os: 0.500 0.000 0.000  0.34
P: 0.000 0.500 0.000  -0.02
Ru: 0.500 0.500 0.500  1.44

=====

Entry b
This record from Alexandria via LeMat-Bulk describes a geometry-optimized RePOs2Ru structure. The functional is PBE-GGA.

a b c (Å): 4.295 4.347 4.295
angles (deg): 90.00 90.00 90.00
Fractional positions:
Re: 0.000 0.500 0.000
Os: 0.000 0.000 0.500
Os: 0.500 0.000 0.000
P: 0.000 0.000 0.000
Ru: 0.500 0.500 0.500

=====

Most stable: entry b

=====

Entry a
This record from Alexandria via LeMat-Bulk describes a geometry-optimized P2OsRh structure. The functional is PBE-GGA.

a b c (Å): 2.864 2.864 7.618
angles (deg): 90.00 90.00 90.00
Fractional positions:
Os: 0.500 0.500 0.764
P: 0.000 0.000 0.935
P: 0.500 0.500 0.312
Rh: 0.000 0.000 0.489

=====

Entry b
This record from Alexandria via LeMat-Bulk describes a geometry-optimized P2OsRh structure. The functional is PBE-GGA.

a b c (Å): 5.249 5.249 6.402
angles (deg): 65.80 65.80 90.00
Fractional positions:
Rh: 0.500 0.500 0.000
Rh: 0.250 0.750 0.500
Os: 0.000 0.000 0.000
Os: 0.750 0.250 0.500
P: 0.629 0.125 0.250
P: 0.121 0.625 0.250
P: 0.375 0.371 0.750
P: 0.875 0.879 0.750

=====

Most stable: entry b

=====

Entry a
This record from Alexandria via LeMat-Bulk describes a geometry-optimized POsRh3 structure. The functional is PBE-GGA.

a b c (Å): 4.331 4.331 4.331
angles (deg): 90.00 90.00 90.00
Each line ends with the local moment (μB).
Fractional positions:
Rh: 0.000 0.500 0.000  0.26
Rh: 0.000 0.000 0.500  0.20
Rh: 0.500 0.000 0.000  0.35
Os: 0.500 0.500 0.500  1.91
P: 0.000 0.000 0.000  0.01

=====

Entry b
This record from Alexandria via LeMat-Bulk describes a geometry-optimized POsRh3 structure. The functional is PBE-GGA.

a b c (Å): 4.688 4.688 4.688
angles (deg): 90.00 90.00 90.00
Fractional positions:
Rh: 0.000 0.500 0.000
Rh: 0.000 0.000 0.500
Rh: 0.500 0.000 0.000
Os: 0.000 0.000 0.000
P: 0.500 0.500 0.500

=====

Most stable: entry a

=====

Entry a
This record from Alexandria via LeMat-Bulk describes a geometry-optimized POsRuS structure. The functional is PBE-GGA.

a b c (Å): 3.704 4.393 4.355
angles (deg): 90.00 115.37 90.00
Fractional positions:
P: 0.989 0.500 0.730
Os: 0.315 0.500 0.384
Ru: 0.859 0.000 0.471
S: 0.196 0.000 0.147

=====

Entry b
This record from Alexandria via LeMat-Bulk describes a geometry-optimized POsRuS structure. The functional is PBE-GGA.

a b c (Å): 3.520 2.966 6.117
angles (deg): 90.00 90.00 90.00
Fractional positions:
P: 0.000 0.000 0.872
Os: 0.500 0.500 0.760
Ru: 0.000 0.500 0.166
S: 0.500 0.500 0.389

=====

Entry c
This record from Alexandria via LeMat-Bulk describes a geometry-optimized POsRuS structure. The functional is PBE-GGA.

a b c (Å): 3.596 2.966 11.537
angles (deg): 90.00 90.00 90.00
Fractional positions:
P: 0.500 0.000 0.623
P: 0.500 0.500 0.123
Os: 0.000 0.000 0.060
Os: 0.000 0.500 0.560
Ru: 0.500 0.000 0.272
Ru: 0.500 0.500 0.772
S: 0.000 0.000 0.393
S: 0.000 0.500 0.893

=====

Entry d
This record from Alexandria via LeMat-Bulk describes a geometry-optimized POsRuS structure. The functional is PBE-GGA.

a b c (Å): 2.977 2.975 12.814
angles (deg): 90.00 90.00 90.00
Fractional positions:
P: 0.000 0.500 0.352
P: 0.500 0.000 0.852
Os: 0.000 0.500 0.744
Os: 0.500 0.000 0.244
Ru: 0.000 0.500 0.958
Ru: 0.500 0.000 0.458
S: 0.000 0.000 0.103
S: 0.500 0.500 0.603

=====

Most stable: entry a